1.
Compound: CaCd3
Source: Alexandria via LeMat-Bulk
Functional: PBE
Structure: optimized geometry

As for the calculated formation energy: 0.5178 eV per atom. The value obtained for the total energy is -0.049 Ry per atom. As for the density of states at the Fermi level: 3.0 states/eV per cell. Its space-group type is Pm-3m (221).

Unit cell a=6.4535 b=6.4535 c=6.4535 alpha=90.00 beta=90.00 gamma=90.00
Closest atoms and distances in Å follow each position.
Element x y z (fractional)
Cd (0.0000, 0.5000, 0.0000)  2 Ca 3.23
Cd (0.5000, 0.0000, 0.0000)  2 Ca 3.23
Cd (0.0000, 0.0000, 0.5000)  2 Ca 3.23
Ca (0.0000, 0.0000, 0.0000)  6 Cd 3.23

2.
Compound: Ca2Cd
Source: Alexandria via LeMat-Bulk
Functional: PBE
Structure: optimized geometry

As for the calculated formation energy: -0.2059 eV per atom. The value obtained for the total energy is -0.136 Ry per atom. As for the density of states at the Fermi level: 6.3 states/eV per cell. Its space-group type is Cmcm (63).

Unit cell a=8.9690 b=8.9690 c=5.7116 alpha=90.00 beta=90.00 gamma=154.60
Closest atoms and distances in Å follow each position.
Element x y z (fractional)
Ca (0.7993, 0.2007, 0.5000)  6 Cd 3.29-3.47
Ca (0.9425, 0.0575, 0.0000)  2 Cd 3.24, 4 Ca 3.62
Ca (0.5019, 0.4981, 0.5000)  2 Cd 3.24, 4 Ca 3.62
Ca (0.6452, 0.3548, 0.0000)  6 Cd 3.29-3.47
Cd (0.1489, 0.8511, 0.5000)  8 Ca 3.24-3.47
Cd (0.2955, 0.7045, 0.0000)  8 Ca 3.24-3.47

3.
Compound: Ca2Cd
Source: Alexandria via LeMat-Bulk
Functional: PBE
Structure: optimized geometry

As for the calculated formation energy: -0.2420 eV per atom. The value obtained for the total energy is -0.138 Ry per atom. As for the density of states at the Fermi level: 4.9 states/eV per cell. Its space-group type is I4/mcm (140).

Unit cell a=6.4459 b=6.4459 c=6.4459 alpha=105.71 beta=105.71 gamma=117.30
Closest atoms and distances in Å follow each position.
Element x y z (fractional)
Cd (0.2500, 0.2500, 0.0000)  8 Ca 3.34, 2 Cd 3.35
Cd (0.7500, 0.7500, 0.0000)  8 Ca 3.34, 2 Cd 3.35
Ca (0.6699, 0.8301, 0.5000)  4 Cd 3.34, 1 Ca 3.74
Ca (0.3301, 0.1699, 0.5000)  4 Cd 3.34, 1 Ca 3.74
Ca (0.8301, 0.3301, 0.1602)  4 Cd 3.34, 1 Ca 3.74
Ca (0.1699, 0.6699, 0.8398)  4 Cd 3.34, 1 Ca 3.74

4.
Compound: Ca2Cd
Source: Alexandria via LeMat-Bulk
Functional: PBE
Structure: optimized geometry

As for the calculated formation energy: -0.2191 eV per atom. The value obtained for the total energy is -0.137 Ry per atom. As for the density of states at the Fermi level: 5.5 states/eV per cell. Its space-group type is C2/m (12).

Unit cell a=6.6797 b=6.6797 c=9.1644 alpha=59.44 beta=59.44 gamma=36.32
Closest atoms and distances in Å follow each position.
Element x y z (fractional)
Cd (0.6555, 0.6555, 0.0253)  1 Cd 3.06, 7 Ca 3.22-3.41
Cd (0.4001, 0.4001, 0.3636)  1 Cd 3.06, 7 Ca 3.22-3.41
Ca (0.3636, 0.3636, 0.7600)  3 Cd 3.22-3.41
Ca (0.6920, 0.6920, 0.6288)  3 Cd 3.22-3.41
Ca (0.9373, 0.9373, 0.0574)  4 Cd 3.32-3.35
Ca (0.1183, 0.1183, 0.3315)  4 Cd 3.32-3.35

5.
Compound: Ca2Cd17
Source: Alexandria via LeMat-Bulk
Functional: PBE
Structure: optimized geometry

As for the calculated formation energy: -0.1269 eV per atom. The value obtained for the total energy is -0.085 Ry per atom. As for the density of states at the Fermi level: 5.9 states/eV per cell. Its space-group type is R-3m (166).

Unit cell a=7.7289 b=7.7289 c=7.7289 alpha=82.60 beta=82.60 gamma=82.60
Closest atoms and distances in Å follow each position.
Element x y z (fractional)
Cd (0.3016, 0.0000, 0.6984)  8 Cd 2.95-3.20
Cd (0.0000, 0.5000, 0.0000)  10 Cd 2.95-3.09
Cd (0.3583, 0.3583, 0.8381)  8 Cd 2.88-3.20
Cd (0.1034, 0.1034, 0.1034)  13 Cd 3.09-3.45
Cd (0.6984, 0.3016, 0.0000)  8 Cd 2.95-3.20
Cd (0.6417, 0.6417, 0.1619)  8 Cd 2.88-3.20
Cd (0.3583, 0.8381, 0.3583)  8 Cd 2.88-3.20
Cd (0.5000, 0.0000, 0.0000)  10 Cd 2.95-3.09
Cd (0.0000, 0.6984, 0.3016)  8 Cd 2.95-3.20
Cd (0.6984, 0.0000, 0.3016)  8 Cd 2.95-3.20
Cd (0.6417, 0.1619, 0.6417)  8 Cd 2.88-3.20
Cd (0.0000, 0.3016, 0.6984)  8 Cd 2.95-3.20
Cd (0.3016, 0.6984, 0.0000)  8 Cd 2.95-3.20
Cd (0.8966, 0.8966, 0.8966)  13 Cd 3.09-3.45
Cd (0.8381, 0.3583, 0.3583)  8 Cd 2.88-3.20
Cd (0.0000, 0.0000, 0.5000)  10 Cd 2.95-3.09
Cd (0.1619, 0.6417, 0.6417)  8 Cd 2.88-3.20
Ca (0.3361, 0.3361, 0.3361)  16 Cd 3.49-3.89
Ca (0.6639, 0.6639, 0.6639)  16 Cd 3.49-3.89

6.
Compound: Ca2Cd7
Source: Alexandria via LeMat-Bulk
Functional: PBE
Structure: optimized geometry

As for the calculated formation energy: -0.2199 eV per atom. The value obtained for the total energy is -0.101 Ry per atom. As for the density of states at the Fermi level: 9.2 states/eV per cell. Its space-group type is R-3m (166).

Unit cell a=6.0127 b=6.0127 c=14.8719 alpha=78.34 beta=78.34 gamma=60.00
Closest atoms and distances in Å follow each position.
Element x y z (fractional)
Ca (0.8489, 0.8489, 0.4532)  12 Cd 3.45-3.54, 3 Ca 3.73
Ca (0.1511, 0.1511, 0.5468)  12 Cd 3.45-3.54, 3 Ca 3.73
Ca (0.0541, 0.0541, 0.8376)  12 Cd 3.47-3.82
Ca (0.9459, 0.9459, 0.1624)  12 Cd 3.47-3.82
Cd (0.5000, 0.0000, 0.0000)  8 Cd 2.97-3.01
Cd (0.3897, 0.3897, 0.8308)  6 Cd 3.00
Cd (0.2778, 0.2778, 0.1665)  6 Cd 2.97-2.99
Cd (0.6155, 0.6155, 0.6632)  7 Cd 2.95-3.06
Cd (0.6155, 0.1059, 0.6632)  7 Cd 2.95-3.06
Cd (0.8941, 0.3845, 0.3368)  7 Cd 2.95-3.06
Cd (0.7222, 0.7222, 0.8335)  6 Cd 2.97-2.99
Cd (0.5000, 0.5000, 0.5000)  6 Cd 2.95
Cd (0.6103, 0.6103, 0.1692)  6 Cd 3.00
Cd (0.3845, 0.8941, 0.3368)  7 Cd 2.95-3.06
Cd (0.1059, 0.6155, 0.6632)  7 Cd 2.95-3.06
Cd (0.5000, 0.5000, 0.0000)  8 Cd 2.97-3.01
Cd (0.0000, 0.5000, 0.0000)  8 Cd 2.97-3.01
Cd (0.3845, 0.3845, 0.3368)  7 Cd 2.95-3.06

7.
Compound: Ca5Cd24
Source: Alexandria via LeMat-Bulk
Functional: PBE
Structure: optimized geometry

As for the calculated formation energy: -0.1980 eV per atom. The value obtained for the total energy is -0.096 Ry per atom. As for the density of states at the Fermi level: 12.9 states/eV per cell. Its space-group type is I-43m (217).

Unit cell a=9.6751 b=9.6751 c=9.6751 alpha=109.47 beta=109.47 gamma=109.47
Closest atoms and distances in Å follow each position.
Element x y z (fractional)
Cd (0.0000, 0.1912, 0.3699)  6 Cd 2.82-3.16
Cd (0.8088, 0.8088, 0.1787)  6 Cd 2.82-3.16
Cd (0.7104, 0.3261, 0.3261)  3 Cd 2.91-3.16, 1 Ca 3.22
Cd (0.6739, 0.0000, 0.3844)  3 Cd 2.91-3.16, 1 Ca 3.22
Cd (0.3699, 0.0000, 0.1912)  6 Cd 2.82-3.16
Cd (0.8213, 0.6301, 0.6301)  6 Cd 2.82-3.16
Cd (0.1787, 0.8088, 0.8088)  6 Cd 2.82-3.16
Cd (0.3844, 0.6739, 0.0000)  3 Cd 2.91-3.16, 1 Ca 3.22
Cd (0.8088, 0.1787, 0.8088)  6 Cd 2.82-3.16
Cd (0.3261, 0.7104, 0.3261)  3 Cd 2.91-3.16, 1 Ca 3.22
Cd (0.6301, 0.6301, 0.8213)  6 Cd 2.82-3.16
Cd (0.3844, 0.0000, 0.6739)  3 Cd 2.91-3.16, 1 Ca 3.22
Cd (0.6739, 0.3844, 0.0000)  3 Cd 2.91-3.16, 1 Ca 3.22
Cd (0.0000, 0.3699, 0.1912)  6 Cd 2.82-3.16
Cd (0.1912, 0.0000, 0.3699)  6 Cd 2.82-3.16
Cd (0.6156, 0.6156, 0.2896)  3 Cd 2.91-3.16, 1 Ca 3.22
Cd (0.0000, 0.3844, 0.6739)  3 Cd 2.91-3.16, 1 Ca 3.22
Cd (0.0000, 0.6739, 0.3844)  3 Cd 2.91-3.16, 1 Ca 3.22
Cd (0.6156, 0.2896, 0.6156)  3 Cd 2.91-3.16, 1 Ca 3.22
Cd (0.3699, 0.1912, 0.0000)  6 Cd 2.82-3.16
Cd (0.2896, 0.6156, 0.6156)  3 Cd 2.91-3.16, 1 Ca 3.22
Cd (0.1912, 0.3699, 0.0000)  6 Cd 2.82-3.16
Cd (0.3261, 0.3261, 0.7104)  3 Cd 2.91-3.16, 1 Ca 3.22
Cd (0.6301, 0.8213, 0.6301)  6 Cd 2.82-3.16
Ca (0.0000, 0.6214, 0.0000)  15 Cd 3.22-3.58
Ca (0.0000, 0.0000, 0.0000)  12 Cd 3.44, 4 Ca 3.66
Ca (0.3786, 0.3786, 0.3786)  15 Cd 3.22-3.58
Ca (0.6214, 0.0000, 0.0000)  15 Cd 3.22-3.58
Ca (0.0000, 0.0000, 0.6214)  15 Cd 3.22-3.58

8.
Compound: Ca2Cd
Source: Alexandria via LeMat-Bulk
Functional: PBE
Structure: optimized geometry

As for the calculated formation energy: -0.0858 eV per atom. The value obtained for the total energy is -0.127 Ry per atom. As for the density of states at the Fermi level: 13.9 states/eV per cell. Its space-group type is Pa-3 (205).

Unit cell a=7.6663 b=7.6663 c=7.6663 alpha=90.00 beta=90.00 gamma=90.00
Closest atoms and distances in Å follow each position.
Element x y z (fractional)
Ca (0.1529, 0.8471, 0.6529)  3 Cd 3.14
Ca (0.6529, 0.6529, 0.3471)  3 Cd 3.14
Ca (0.1529, 0.6529, 0.1529)  3 Cd 3.14
Ca (0.6529, 0.8471, 0.8471)  3 Cd 3.14
Ca (0.3471, 0.1529, 0.1529)  3 Cd 3.14
Ca (0.8471, 0.1529, 0.3471)  3 Cd 3.14
Ca (0.8471, 0.3471, 0.8471)  3 Cd 3.14
Ca (0.3471, 0.3471, 0.6529)  3 Cd 3.14
Cd (0.0000, 0.0000, 0.0000)  6 Ca 3.14
Cd (0.0000, 0.5000, 0.5000)  6 Ca 3.14
Cd (0.5000, 0.0000, 0.5000)  6 Ca 3.14
Cd (0.5000, 0.5000, 0.0000)  6 Ca 3.14